[1]
A crystal of AlRe2Tc relaxed with PBEsol. Source: the Alexandria database, functional meta-GGA SCAN. Values from VASP.

```
&SYSTEM
  ibrav = 0, nat = 4, ntyp = 3
/
ATOMIC_SPECIES
Re 186.21 Re.upf
Tc 98.00 Tc.upf
Al 26.98 Al.upf
CELL_PARAMETERS angstrom
-1.8989 2.3733 0.3266
-3.2542 -2.4360 -1.2189
1.8735 -1.1008 4.5858
ATOMIC_POSITIONS crystal
Re 0.7516 0.7516 0.5032
Re 0.2484 0.2484 0.4968
Tc 0.0000 0.5000 0.0000
Al 0.5000 0.0000 0.0000
```

## Properties
total magnetization: 0.00 μB/f.u.
ΔE_f: -310 meV/atom
calculated total energy: -186.247 eV/f.u.
space group: Immm (71)



[2]
A crystal of ZnCo2Au relaxed with PBEsol. Source: the Alexandria database, functional meta-GGA SCAN. Values from VASP.

```
&SYSTEM
  ibrav = 0, nat = 4, ntyp = 3
/
ATOMIC_SPECIES
Co 58.93 Co.upf
Zn 65.41 Zn.upf
Au 196.97 Au.upf
CELL_PARAMETERS angstrom
2.6893 0.0000 0.0000
0.0000 4.5089 0.0620
0.0000 -1.6159 4.2099
ATOMIC_POSITIONS crystal
Co 0.0000 0.0000 0.5000
Co 0.0000 0.5000 0.0000
Zn 0.5000 0.5000 0.5000
Au 0.5000 0.0000 0.0000
```

## Properties
total magnetization: 3.18 μB/f.u.
ΔE_f: 47 meV/atom
calculated total energy: -117.093 eV/f.u.
space group: Cmmm (65)



> Among the records above, which one has the highest total magnetization?

ZnCo2Au



> What is the formula in the first record?

AlRe2Tc



> Among the records above, which one has the lowest ΔE_f?

AlRe2Tc